Entry from Alexandria via LeMat-Bulk: TlCoRu after structural relaxation (PBE-GGA).

Geometry as POSCAR:
```
TlCoRu
1.0
3.621 0.000 0.001
0.000 3.621 0.000
-0.013 -0.030 8.769
Ru Co Tl
2 2 2
direct
0.581 0.331 0.620
0.082 0.333 0.819
0.582 0.833 0.811
0.081 0.831 0.628
0.080 0.327 0.367
0.084 0.833 0.071
```

polymorph energy (0 for the lowest one) = 43 meV per atom
ΔH_f (0 K) = 425.7 meV per atom
size of the total moment = 0.02 Bohr magnetons per cell
SG = No. 1
D(E_F) = 6.4 states/eV/cell
V = 19.16 A^3/atom